Density functional theory data (GGA-PBE) for a relaxed Sr2PdPt2 crystal.

Summary:
The calculation puts the calculated formation energy at -0.46 eV per atom. For the excess energy over the best structure of this formula in the dataset, the calculation gives 321 meV per atom.

a b c (Å): 5.8761 5.8761 7.8213
angles (deg): 90.00 90.00 90.00
Space group I4/mmm (No. 139)
Inequivalent atoms, fractional coordinates:
Sr (0.0000, 0.5000, 0.2500) x4
Pd (0.0000, 0.0000, 0.0000) x2
Pt (0.0000, 0.0000, 0.3362) x4

***

Density functional theory data (GGA-PBE) for a relaxed ReMo2Os crystal.

Summary:
The calculation puts the calculated formation energy at 0.24 eV per atom.

a b c (Å): 6.2588 6.2588 6.2588
angles (deg): 90.00 90.00 90.00
Space group F-43m (No. 216)
Inequivalent atoms, fractional coordinates:
Re (0.0000, 0.0000, 0.0000) x4
Mo (0.0000, 0.0000, 0.5000) x4
Mo (0.2500, 0.2500, 0.2500) x4
Os (0.2500, 0.2500, 0.7500) x4

***

Density functional theory data (GGA-PBE) for a relaxed Be2ReSe crystal.

Summary:
As for the formation energy without anion corrections: 0.161 eV per atom.

a b c (Å): 3.1428 3.1428 4.9600
angles (deg): 90.00 90.00 90.00
Space group P4/mmm (No. 123)
Inequivalent atoms, fractional coordinates:
Be (0.0000, 0.0000, 0.2167) x2
Re (0.5000, 0.5000, 0.0000) x1
Se (0.5000, 0.5000, 0.5000) x1

***

Density functional theory data (GGA-PBE) for a relaxed MoRhBr2 crystal.

Summary:
For the excess energy over the best structure of this formula in the dataset, the calculation gives 254 meV per atom. As for the formation energy without anion corrections: 0.247 eV per atom.

a b c (Å): 3.1840 4.2482 14.7910
angles (deg): 90.00 90.00 90.00
Space group Immm (No. 71)
Inequivalent atoms, fractional coordinates:
Mo (0.0000, 0.0000, 0.0000) x2
Rh (0.0000, 0.0000, 0.5000) x2
Br (0.0000, 0.5000, 0.3588) x4

***

Number 1: V 270.06 Å³ per cell. Number 2: V 245.17 Å³ per cell. Number 3: V 48.99 Å³ per cell. Number 4: V 200.06 Å³ per cell.